LaBeTe (PBE-GGA, relaxed); energy above the most stable polymorph in this dataset = 0.204 eV per atom; formation energy without anion corrections = -0.280 eV/atom; magnetization = 0.007 μB per formula unit
1.0
5.971 0.016 -0.017
4.838 3.499 0.023
1.133 0.327 3.468
Be La Te
1 1 1
direct
0.035 0.035 0.965 Be
0.335 0.335 0.665 La
0.630 0.630 0.370 Te



LaBeTe2 (PBE-GGA, relaxed); formation energy without anion corrections = -0.075 eV/atom; magnetization = 0.000 μB per formula unit
1.0
-0.851 4.938 1.909
-2.648 0.671 4.615
2.615 1.672 4.373
La Te Be
1 2 1
direct
0.250 0.250 0.250 La
0.000 0.000 0.000 Te
0.750 0.750 0.750 Te
0.500 0.500 0.500 Be



LaBeTe2 (PBE-GGA, relaxed); formation energy without anion corrections = -0.602 eV/atom; magnetization = 0.237 μB per formula unit
1.0
5.769 -0.016 -0.004
1.499 5.571 0.004
-2.774 -3.903 3.219
Be Te La
1 2 1
direct
0.250 0.750 0.500 Be
0.065 0.065 0.000 Te
0.435 0.435 0.000 Te
0.750 0.250 0.500 La



LaBeTe2 (PBE-GGA, relaxed); formation energy without anion corrections = -0.568 eV/atom; magnetization = 0.000 μB per formula unit
1.0
-1.605 -4.410 -1.729
3.701 -1.825 -2.827
2.277 -3.500 2.760
Te La Be
2 1 1
direct
0.958 0.958 0.958 Te
0.542 0.542 0.542 Te
0.250 0.250 0.250 La
0.750 0.750 0.750 Be



LaBeTe2 (PBE-GGA, relaxed); formation energy without anion corrections = -0.367 eV/atom; magnetization = 0.000 μB per formula unit
1.0
-4.038 -0.257 -0.884
0.635 -3.657 -1.838
-1.011 -2.924 5.469
La Be Te
1 1 2
direct
0.500 0.500 0.750 La
0.500 0.500 0.250 Be
0.000 0.000 0.006 Te
0.000 0.000 0.494 Te



LaBe2Te (PBE-GGA, relaxed); formation energy without anion corrections = 0.118 eV/atom; magnetization = 0.000 μB per formula unit
1.0
-0.291 -2.527 -3.631
3.809 -1.993 1.082
-2.180 -2.955 2.231
La Be Te
1 2 1
direct
0.500 0.000 0.500 La
0.000 0.000 0.000 Be
0.500 0.500 0.000 Be
0.000 0.500 0.500 Te